BaLiCa: optimized geometry, GGA-PBE.

Results
space group	Imma, No. 74
energy relative to the elements	0.0306	eV per atom
crystal system	orthorhombic
calculated total energy	-11.49	eV/cell

abc: 7.092 7.092 7.092
angles: 119.50 116.70 93.34
Element x y z (fractional)
Ba 0.369 0.119 0.250
Ba 0.631 0.881 0.750
Li 0.000 0.000 0.500
Li 0.000 0.500 0.000
Ca 0.000 0.500 0.500
Ca 0.500 0.500 0.000